Re2PtAu: relaxed, PBE.

Cell: 2.754 4.150 5.533 Å, 90.00 90.00 90.00°
Atoms (fractional coordinates):
Re: 0.000 0.000 0.228
Re: 0.000 0.000 0.772
Pt: 0.500 0.500 0.000
Au: 0.500 0.500 0.500

Output
For the energy of formation from the pure elements, the calculation gives 136 kJ/mol of formula units. Its density of states at the Fermi level is 4.86 states/eV/cell. For the energy relative to the lowest polymorph listed for this composition, the calculation gives 1.122 eV per formula unit.

***

Rb12NaHg7: relaxed, PBE.

Cell: 13.342 13.342 13.342 Å, 116.65 116.65 116.65°
Atoms (fractional coordinates):
Rb: 0.014 0.323 0.093
Rb: 0.093 0.014 0.323
Rb: 0.195 0.722 0.573
Rb: 0.278 0.427 0.805
Rb: 0.323 0.093 0.014
Rb: 0.427 0.805 0.278
Rb: 0.573 0.195 0.722
Rb: 0.677 0.907 0.986
Rb: 0.722 0.573 0.195
Rb: 0.805 0.278 0.427
Rb: 0.907 0.986 0.677
Rb: 0.986 0.677 0.907
Na: 0.500 0.500 0.500
Hg: 0.000 0.000 0.000
Hg: 0.219 0.413 0.482
Hg: 0.413 0.482 0.219
Hg: 0.482 0.219 0.413
Hg: 0.518 0.781 0.587
Hg: 0.587 0.518 0.781
Hg: 0.781 0.587 0.518

Output
For the energy of formation from the pure elements, the calculation gives -231 kJ/mol of formula units. Its density of states at the Fermi level is 10.72 states/eV/cell.